[1]
VASP calculation (PBE) on Hf2NiGeRu after structural relaxation.

```
Hf2NiGeRu
1.0
-2.8225 3.4015 2.1979
-0.2813 -2.4037 3.3587
4.0358 2.1406 1.8699
Hf Ru Ni Ge
2 1 1 1
Direct
0.0000 0.0000 0.5000 Hf
0.5000 0.0000 0.0000 Hf
0.5000 0.5000 0.5000 Ru
0.0000 0.5000 0.0000 Ni
0.0000 0.0000 0.0000 Ge
```

Computed properties:
space-group type	P4/mmm (123)
DFT formation energy	0.59	eV/atom
volume	20.17	A^3/atom

[2]
VASP calculation (PBE) on CaTl2Pb after structural relaxation.

```
CaTl2Pb
1.0
5.8159 -3.1657 -2.9006
-3.1142 5.8437 2.9006
-3.0305 0.3556 6.5536
Tl Pb Ca
2 1 1
Direct
0.0000 0.7403 0.7403 Tl
0.0000 0.2597 0.2597 Tl
0.0000 0.5000 0.5000 Pb
0.0000 0.0000 0.0000 Ca
```

Computed properties:
space-group type	Immm (71)
DFT formation energy	-0.12	eV/atom
volume	32.95	A^3/atom

[3]
VASP calculation (PBE) on BaSiTc2 after structural relaxation.

```
BaSiTc2
1.0
-2.5520 -2.8745 2.0657
1.7642 -3.5001 1.9183
0.3679 1.0154 6.4629
Ba Tc Si
1 2 1
Direct
0.7500 0.7500 0.7500 Ba
0.9284 0.9284 0.2149 Tc
0.5716 0.5716 0.2851 Tc
0.2500 0.2500 0.2500 Si
```

Computed properties:
space-group type	C2/m (12)
volume	24.95	A^3/atom
ΔE_f (raw)	-8.1	kJ per mole of atoms

[4]
VASP calculation (PBE) on K2Cu5Te5 after structural relaxation.

```
K2Cu5Te5
1.0
-1.3453 -4.9350 6.6990
5.0110 3.1740 -5.9880
4.5938 14.1414 11.3401
Te Cu K
10 10 4
Direct
0.8037 0.1963 0.3336 Te
0.1282 0.8718 0.4789 Te
0.8037 0.1963 0.1664 Te
0.8718 0.1282 0.9789 Te
0.1963 0.8037 0.6664 Te
0.1963 0.8037 0.8336 Te
0.0828 0.9172 0.2500 Te
0.1282 0.8718 0.0211 Te
0.8718 0.1282 0.5211 Te
0.9172 0.0828 0.7500 Te
0.7991 0.2009 0.6475 Cu
0.7991 0.2009 0.8525 Cu
0.2754 0.7246 0.9604 Cu
0.7246 0.2754 0.0396 Cu
0.2009 0.7991 0.3525 Cu
0.7246 0.2754 0.4604 Cu
0.2009 0.7991 0.1475 Cu
0.3237 0.6763 0.7500 Cu
0.2754 0.7246 0.5396 Cu
0.6763 0.3237 0.2500 Cu
0.5177 0.4824 0.6184 K
0.4824 0.5177 0.3816 K
0.4824 0.5177 0.1184 K
0.5177 0.4824 0.8816 K
```

Computed properties:
space-group type	Cmcm (63)
volume	26.29	A^3/atom
ΔE_f (raw)	-35.5	kJ per mole of atoms

[5]
VASP calculation (PBE) on Ce2PrIr after structural relaxation.

```
Ce2PrIr
1.0
-1.1671 -3.2066 -1.3692
3.2689 -1.5086 0.7466
-2.6214 -2.1186 7.1961
Ir Ce Pr
1 2 1
Direct
0.5000 0.5000 0.0000 Ir
0.0000 0.0000 0.8139 Ce
0.0000 0.0000 0.1861 Ce
0.5000 0.5000 0.5000 Pr
```

Computed properties:
space-group type	P4/mmm (123)
DFT formation energy	-0.29	eV/atom
volume	26.86	A^3/atom
energy above the lowest structure with this stoichiometry	117	meV per atom

[6]
VASP calculation (PBE) on Ta3BC2 after structural relaxation.

```
Ta3BC2
1.0
3.1112 0.0009 -0.7092
-0.1602 3.1070 -0.7096
-0.0038 -0.0031 7.1679
Ta B C
3 1 2
Direct
0.2668 0.2683 0.5392 Ta
0.9342 0.9357 0.8740 Ta
0.6016 0.6031 0.2088 Ta
0.4342 0.4357 0.8740 B
0.1022 0.1036 0.2098 C
0.7663 0.7677 0.5381 C
```

Computed properties:
space-group type	I4/mmm (139)
DFT formation energy	-0.60	eV/atom
volume	11.55	A^3/atom